AcSiRhN after structural relaxation, computed with PBE.

Properties
The value obtained for the raw formation energy is -1204.2 meV per atom. The total magnetization is 0.000 μB per formula unit. The density of states at the Fermi level is 2.9 states/eV/cell.

Geometry as CIF:
```
data_AcSiRhN
_chemical_formula_sum 'Ac2 Si2 Rh2 N2'
_cell_length_a 4.094
_cell_length_b 4.094
_cell_length_c 8.416
_cell_angle_alpha 90.00
_cell_angle_beta 90.00
_cell_angle_gamma 90.00
_symmetry_space_group_name_H-M 'P 4/n m m'
_symmetry_Int_Tables_number 129
loop_
_symmetry_equiv_pos_as_xyz
'x,y,z'
'-x,-y,-z'
'-y+1/2,x,z'
'y+1/2,-x,-z'
'-x+1/2,-y+1/2,z'
'x+1/2,y+1/2,-z'
'y,-x+1/2,z'
'-y,x+1/2,-z'
'x+1/2,-y,-z'
'-x+1/2,y,z'
'-y,-x,-z'
'y,x,z'
'-x,y+1/2,-z'
'x,-y+1/2,z'
'y+1/2,x+1/2,-z'
'-y+1/2,-x+1/2,z'
loop_
_atom_site_label
_atom_site_type_symbol
_atom_site_fract_x
_atom_site_fract_y
_atom_site_fract_z
_atom_site_occupancy
Ac1 Ac 0.250 0.250 0.164 1
Si1 Si 0.250 0.250 0.648 1
Rh1 Rh 0.250 0.750 0.500 1
N1 N 0.250 0.250 0.859 1
```

=====

AcTb2RhN4 after structural relaxation, computed with PBE.

Properties
The value obtained for the raw formation energy is -928.9 meV per atom. The total magnetization is 0.000 μB per formula unit. The density of states at the Fermi level is 14.6 states/eV/cell.

Geometry as CIF:
```
data_AcTb2RhN4
_chemical_formula_sum 'Ac4 Tb8 Rh4 N16'
_cell_length_a 3.581
_cell_length_b 11.900
_cell_length_c 11.746
_cell_angle_alpha 90.00
_cell_angle_beta 90.00
_cell_angle_gamma 90.00
_symmetry_space_group_name_H-M 'C m c m'
_symmetry_Int_Tables_number 63
_symmetry_space_group_name_Hall '-C 2c 2'
loop_
_atom_site_label
_atom_site_type_symbol
_atom_site_fract_x
_atom_site_fract_y
_atom_site_fract_z
_atom_site_occupancy
Ac1 Ac 0.000 0.113 0.250 1
Tb1 Tb 0.000 0.369 0.046 1
Rh1 Rh 0.000 0.150 0.750 1
N1 N 0.000 0.000 0.000 1
N2 N 0.000 0.268 0.622 1
N3 N 0.000 0.428 0.250 1
```

=====

Ac4Te2RhN after structural relaxation, computed with PBE.

Properties
The value obtained for the raw formation energy is -1122.0 meV per atom. The total magnetization is 0.000 μB per formula unit. The density of states at the Fermi level is 3.8 states/eV/cell.

Geometry as CIF:
```
data_Ac4Te2RhN
_chemical_formula_sum 'Ac4 Te2 Rh1 N1'
_cell_length_a 7.338
_cell_length_b 4.396
_cell_length_c 8.116
_cell_angle_alpha 90.00
_cell_angle_beta 106.80
_cell_angle_gamma 90.00
_symmetry_space_group_name_H-M 'P 1 2/m 1'
_symmetry_Int_Tables_number 10
_symmetry_space_group_name_Hall '-P 2y'
loop_
_atom_site_label
_atom_site_type_symbol
_atom_site_fract_x
_atom_site_fract_y
_atom_site_fract_z
_atom_site_occupancy
Ac1 Ac 0.232 0.000 0.305 1
Ac2 Ac 0.238 0.500 0.705 1
Te1 Te 0.000 0.500 0.000 1
Te2 Te 0.500 0.000 0.000 1
Rh1 Rh 0.500 0.500 0.500 1
N1 N 0.000 0.000 0.500 1
```